## K4TaRu (GGA-PBE)

Data for a relaxed structure of K4TaRu.

Cell: 6.5819 6.5819 6.5819 Å, 60.00 60.00 60.00°
Positions (direct):
K 0.1242 0.1242 0.1242
K 0.1242 0.1242 0.6275
K 0.1242 0.6275 0.1242
K 0.6275 0.1242 0.1242
Ta 0.5000 0.5000 0.5000
Ru 0.7500 0.7500 0.7500

Output
Its formation energy is 1.784 eV per atom. The energy is -2.469 eV/atom. The size of the total moment is 0.38 μB per atom.